10
Lattice="4.070 0.000 0.000 0.000 4.070 0.000 0.000 0.000 9.257" Properties=species:S:1:pos:R:3 comment="Pm2Ni4AsP3 PBE optimized geometry" total_magnetization_mub_per_cell=0.00 space_group="P-4m2, No. 115" pbc="T T T"
Pm 0.000 2.035 2.281
Pm 2.035 0.000 6.976
Ni 0.000 0.000 0.000
Ni 0.000 2.035 5.776
Ni 2.035 0.000 3.481
Ni 2.035 2.035 0.000
As 0.000 0.000 4.629
P 0.000 2.035 8.079
P 2.035 0.000 1.179
P 2.035 2.035 4.629

***

12
Lattice="9.051 0.000 0.000 0.000 3.641 0.000 -4.212 0.000 10.351" Properties=species:S:1:pos:R:3 comment="TlIn3HgPb PBE optimized geometry" total_magnetization_mub_per_cell=0.00 space_group="P2_1/m, No. 11" pbc="T T T"
Tl -0.539 0.910 1.377
Tl 5.378 2.731 8.974
In 1.031 0.910 4.927
In -1.102 0.910 10.279
In 2.166 2.731 2.450
In 2.674 0.910 7.902
In 5.941 2.731 0.072
In 3.809 2.731 5.424
Hg -1.408 2.731 4.036
Hg 6.247 0.910 6.316
Pb -0.268 2.731 7.557
Pb 5.107 0.910 2.794

***

5
Lattice="4.973 0.000 0.000 0.000 4.973 0.000 0.000 0.000 4.585" Properties=species:S:1:pos:R:3 comment="KZn2SiOs PBE optimized geometry" total_magnetization_mub_per_cell=0.00 space_group="P4/mmm, No. 123" pbc="T T T"
K 0.000 0.000 0.000
Zn 0.000 2.486 2.293
Zn 2.486 0.000 2.293
Si 2.486 2.486 0.000
Os 2.486 2.486 2.293

***

10
Lattice="2.644 -4.487 0.000 2.644 4.487 0.000 -2.192 0.000 7.004" Properties=species:S:1:pos:R:3 comment="VMo2W2 PBE optimized geometry" total_magnetization_mub_per_cell=0.00 space_group="C2/m, No. 12" pbc="T T T"
V 2.644 3.056 0.000
V 2.644 -3.056 0.000
Mo 0.096 0.000 2.750
Mo 0.502 0.000 5.758
Mo 2.593 0.000 1.246
Mo 3.000 0.000 4.253
W 1.267 2.293 2.237
W 1.828 2.293 4.766
W 1.267 -2.293 2.237
W 1.828 -2.293 4.766

***

4
Lattice="3.021 0.000 0.000 0.000 4.338 0.000 -1.502 0.000 5.376" Properties=species:S:1:pos:R:3 comment="CaBePt2 PBE optimized geometry" total_magnetization_mub_per_cell=0.00 space_group="Pm, No. 6" pbc="T T T"
Ca 0.000 0.000 0.000
Be 0.001 2.169 3.407
Pt 0.014 0.000 2.886
Pt 1.516 2.169 1.626

***

5
Lattice="1.808 1.044 11.137 -1.808 1.044 11.137 0.000 -2.088 11.137" Properties=species:S:1:pos:R:3 comment="Cd2Hg3 PBE optimized geometry" total_magnetization_mub_per_cell=0.00 space_group="R-3m, No. 166" pbc="T T T"
Cd 0.000 0.000 3.363
Cd 0.000 0.000 30.047
Hg 0.000 0.000 9.989
Hg 0.000 0.000 16.705
Hg 0.000 0.000 23.421

***

20
Lattice="11.113 0.000 0.000 0.000 11.113 0.000 0.000 0.000 4.787" Properties=species:S:1:pos:R:3 comment="Na2Tl5Cd2In PBE optimized geometry" total_magnetization_mub_per_cell=0.00 space_group="P4/mbm, No. 127" pbc="T T T"
Na 1.863 3.693 0.000
Na 3.693 9.250 0.000
Na 7.420 1.863 0.000
Na 9.250 7.420 0.000
Tl 0.000 5.556 2.394
Tl 0.984 9.007 2.394
Tl 2.106 0.984 2.394
Tl 3.450 6.540 2.394
Tl 4.573 3.450 2.394
Tl 5.556 0.000 2.394
Tl 6.540 7.663 2.394
Tl 7.663 4.573 2.394
Tl 9.007 10.129 2.394
Tl 10.129 2.106 2.394
Cd 1.443 6.999 0.000
Cd 4.114 1.443 0.000
Cd 6.999 9.670 0.000
Cd 9.670 4.114 0.000
In 0.000 0.000 0.000
In 5.556 5.556 0.000

***

7
Lattice="5.933 -1.794 0.000 5.933 1.794 0.000 -1.085 0.000 10.725" Properties=species:S:1:pos:R:3 comment="Tb2Nd2Dy3 PBE optimized geometry" total_magnetization_mub_per_cell=0.00 space_group="C2/m, No. 12" pbc="T T T"
Tb 0.530 0.000 3.090
Tb 10.251 0.000 7.635
Nd 1.614 0.000 9.169
Nd 9.167 0.000 1.556
Dy 3.775 0.000 4.611
Dy 5.933 0.000 0.000
Dy 7.006 0.000 6.114

***

8
Lattice="-5.140 5.140 3.384 5.140 -5.140 3.384 5.140 5.140 -3.384" Properties=species:S:1:pos:R:3 comment="K2YMg PBE optimized geometry" total_magnetization_mub_per_cell=0.00 space_group="I-42d, No. 122" pbc="T T T"
K 7.710 2.195 -0.846
K 2.195 2.570 0.846
K -2.570 2.946 2.538
K 2.946 2.570 4.230
Y 5.140 0.000 1.692
Y 0.000 0.000 3.384
Mg 0.000 0.000 0.000
Mg 0.000 5.140 1.692

***

4
Lattice="2.662 -2.690 0.000 2.662 2.690 0.000 0.000 0.000 7.333" Properties=species:S:1:pos:R:3 comment="YCd2Pb PBE optimized geometry" total_magnetization_mub_per_cell=0.00 space_group="Cmm2, No. 35" pbc="T T T"
Y 0.000 0.000 0.000
Cd 0.000 0.000 3.415
Cd 2.662 0.000 1.910
Pb 2.662 0.000 5.308

***

9
Lattice="7.549 0.000 0.000 -3.775 6.538 0.000 0.000 0.000 8.814" Properties=species:S:1:pos:R:3 comment="CsMgAsI6 PBE optimized geometry" total_magnetization_mub_per_cell=0.00 space_group="P312, No. 149" pbc="T T T"
Cs 0.000 0.000 0.000
Mg 0.000 4.359 4.407
As 3.775 2.179 4.407
I 2.791 0.023 6.082
I 1.416 2.405 2.733
I 4.758 0.023 2.733
I 2.400 4.109 6.082
I 6.134 2.405 6.082
I 5.150 4.109 2.733

***

4
Lattice="0.000 2.642 2.642 2.642 0.000 2.642 2.642 2.642 0.000" Properties=species:S:1:pos:R:3 comment="ZnH2Pd PBE optimized geometry" total_magnetization_mub_per_cell=0.00 space_group="Fm-3m, No. 225" pbc="T T T"
Zn 0.000 0.000 0.000
H 1.321 1.321 1.321
H 3.962 3.962 3.962
Pd 2.642 2.642 2.642

***

5
Lattice="5.379 0.000 0.000 0.000 5.379 0.000 0.000 0.000 5.132" Properties=species:S:1:pos:R:3 comment="RbMgCd2Pt PBE optimized geometry" total_magnetization_mub_per_cell=0.00 space_group="P4/mmm, No. 123" pbc="T T T"
Rb 0.000 0.000 0.000
Mg 2.689 2.689 0.000
Cd 0.000 2.689 2.566
Cd 2.689 0.000 2.566
Pt 2.689 2.689 2.566

***

9
Lattice="6.777 -1.626 0.000 6.777 1.626 0.000 -5.028 0.000 9.511" Properties=species:S:1:pos:R:3 comment="Ta2GeS6 PBE optimized geometry" total_magnetization_mub_per_cell=0.00 space_group="C2/m, No. 12" pbc="T T T"
Ta 1.007 0.000 2.871
Ta 7.519 0.000 6.639
Ge 6.777 0.000 0.000
S -0.370 0.000 5.125
S -0.399 0.000 8.130
S 2.585 0.000 7.100
S 5.941 0.000 2.411
S 8.925 0.000 1.381
S 8.896 0.000 4.386

***

4
Lattice="0.000 2.998 2.998 2.998 0.000 2.998 2.998 2.998 0.000" Properties=species:S:1:pos:R:3 comment="MnP2W PBE optimized geometry" total_magnetization_mub_per_cell=1.90 space_group="F-43m, No. 216" pbc="T T T"
Mn 0.000 0.000 0.000
P 2.998 2.998 2.998
P 4.497 4.497 4.497
W 1.499 1.499 1.499

***

3
Lattice="-1.510 1.510 5.794 1.510 -1.510 5.794 1.510 1.510 -5.794" Properties=species:S:1:pos:R:3 comment="CeUC PBE optimized geometry" total_magnetization_mub_per_cell=0.00 space_group="I4mm, No. 107" pbc="T T T"
Ce 0.000 0.000 0.000
U 0.000 0.000 8.718
C 0.000 0.000 4.063

***

5
Lattice="5.506 0.000 0.000 0.000 5.506 0.000 0.000 0.000 5.455" Properties=species:S:1:pos:R:3 comment="Tl2ZnInGe PBE optimized geometry" total_magnetization_mub_per_cell=0.00 space_group="P4/mmm, No. 123" pbc="T T T"
Tl 0.000 2.753 0.000
Tl 2.753 0.000 0.000
Zn 0.000 0.000 2.727
In 2.753 2.753 2.727
Ge 2.753 2.753 0.000

***

10
Lattice="4.776 0.000 0.000 0.000 6.943 0.000 0.000 0.000 6.724" Properties=species:S:1:pos:R:3 comment="Pu3SiPt PBE optimized geometry" total_magnetization_mub_per_cell=33.35 space_group="Pmmn, No. 59" pbc="T T T"
Pu 1.194 0.258 1.613
Pu 1.194 1.736 4.779
Pu 1.194 3.214 1.613
Pu 3.582 3.730 5.111
Pu 3.582 5.208 1.945
Pu 3.582 6.686 5.111
Si 1.194 5.208 3.812
Si 3.582 1.736 2.912
Pt 1.194 5.208 6.291
Pt 3.582 1.736 0.434

***

4
Lattice="0.000 3.413 3.413 3.413 0.000 3.413 3.413 3.413 0.000" Properties=species:S:1:pos:R:3 comment="ThMgCuRh PBE optimized geometry" total_magnetization_mub_per_cell=0.00 space_group="F-43m, No. 216" pbc="T T T"
Th 0.000 0.000 0.000
Mg 3.413 3.413 3.413
Cu 5.120 5.120 5.120
Rh 1.707 1.707 1.707

***

4
Lattice="2.128 1.229 12.265 -2.128 1.229 12.265 0.000 -2.457 12.265" Properties=species:S:1:pos:R:3 comment="Ba2CaCd PBE optimized geometry" total_magnetization_mub_per_cell=0.00 space_group="R3m, No. 160" pbc="T T T"
Ba 0.000 0.000 0.000
Ba 0.000 0.000 6.983
Ca 0.000 0.000 28.017
Cd 0.000 0.000 21.884

***

Energy? In order: -62.91 -29.01 -20.39 -108.90 -19.75 -2.60 -38.35 -32.49 -15.44 -12.68 -23.24 -11.44 -11.86 -59.41 -31.43 -25.84 -11.26 -113.68 -22.02 -6.83 eV/cell.
V? In order: 15.3 28.4 22.7 16.6 17.6 25.2 29.6 32.6 44.7 26.3 48.3 9.2 29.7 23.3 13.5 17.6 33.1 22.3 19.9 48.1 Å³/atom.